Density functional theory data (GGA-PBE) for crystalline MgCuSnIr at its relaxed geometry.

Calculated values
DOS(E_F) ... 2.65 states/eV per cell
ΔH_f (0 K) ... -0.1961 eV per atom
Density ... 10.152 g cm⁻³
SG ... I-4m2
Magnetization ... 0.0 μB/f.u.

CIF file:
```
data_MgCuSnIr
_chemical_formula_sum 'Mg1 Cu1 Sn1 Ir1'
_cell_length_a 4.246
_cell_length_b 4.246
_cell_length_c 4.701
_cell_angle_alpha 116.85
_cell_angle_beta 116.84
_cell_angle_gamma 90.00
_symmetry_space_group_name_H-M 'P 1'
_symmetry_Int_Tables_number 1
loop_
_symmetry_equiv_pos_as_xyz
'x,y,z'
loop_
_atom_site_label
_atom_site_fract_x
_atom_site_fract_y
_atom_site_fract_z
_atom_site_occupancy
Ir1 0.500 0.500 0.000 1
Cu1 0.000 0.000 0.000 1
Mg1 0.250 0.750 0.500 1
Sn1 0.750 0.250 0.500 1
```